Record 1
18
Lattice="10.472 0.000 0.000 0.000 10.043 0.000 -5.236 -5.021 7.365" Properties=species:S:1:pos:R:3 comment="PBE CsNdPbCl6, optimized geometry" dos_ef_per_ev_cell=0.0 formation_energy_uncorrected_mev_per_atom=-1816 total_magnetization_mub_per_cell=0.00 pbc="T T T"
Cs 0.000 2.511 2.561
Cl 3.035 -0.501 1.873
Cl 0.000 7.532 2.806
Pb 5.236 5.021 0.000
Cl -2.201 -0.501 5.492
Cl 5.236 -2.511 4.558
Cl 5.236 2.511 1.376
Nd -2.618 -2.511 3.682
Pb 5.236 0.000 0.000
Nd 2.618 -2.511 3.682
Cl 3.035 5.522 1.873
Cl 7.437 5.522 1.873
Cl -2.201 5.522 5.492
Cl 2.201 -0.501 5.492
Cl 0.000 2.511 5.989
Cs 5.236 2.511 4.804
Cl 7.437 -0.501 1.873
Cl 2.201 5.522 5.492

Record 2
7
Lattice="5.503 0.000 0.000 0.000 5.503 0.000 -2.751 -2.751 8.939" Properties=species:S:1:pos:R:3 comment="PBE Cs2NdS2Cl2, optimized geometry" dos_ef_per_ev_cell=3.6 formation_energy_uncorrected_mev_per_atom=-1666 total_magnetization_mub_per_cell=0.98 pbc="T T T"
Cs 0.000 0.000 6.338
S 2.751 0.000 0.000
Cs 2.751 2.751 2.600
Cl 0.000 0.000 2.831
S 0.000 2.751 0.000
Nd 0.000 0.000 0.000
Cl 2.751 2.751 6.108

Record 3
7
Lattice="-0.642 -4.866 2.921 2.070 -2.938 -4.440 7.549 4.777 4.032" Properties=species:S:1:pos:R:3 comment="PBE Cs2NdSe2Cl2, optimized geometry" dos_ef_per_ev_cell=7.8 formation_energy_uncorrected_mev_per_atom=-1646 total_magnetization_mub_per_cell=0.26 pbc="T T T"
Cl 2.612 0.277 1.035
Cl 6.365 -3.304 1.479
Cs 3.158 -3.643 0.209
Nd 0.000 0.000 0.000
Se 1.035 -1.469 -2.220
Cs 5.819 0.616 2.305
Se -0.321 -2.433 1.461

Record 4
4
Lattice="4.248 0.001 -0.002 -2.122 3.687 0.002 -2.128 -1.228 8.538" Properties=species:S:1:pos:R:3 comment="PBE CsNdSeCl, optimized geometry" dos_ef_per_ev_cell=2.1 formation_energy_uncorrected_mev_per_atom=-1616 total_magnetization_mub_per_cell=0.00 pbc="T T T"
Cs 0.398 -0.270 5.429
Cl 2.523 0.961 2.675
Se -1.724 0.960 7.824
Nd -1.721 3.420 0.889

Record 5
9
Lattice="-2.273 6.456 -2.913 -6.378 0.319 -3.816 -3.724 1.557 6.356" Properties=species:S:1:pos:R:3 comment="PBE CsNdSnCl6, optimized geometry" dos_ef_per_ev_cell=0.0 formation_energy_uncorrected_mev_per_atom=-1829 total_magnetization_mub_per_cell=0.00 pbc="T T T"
Cl -2.552 4.434 0.012
Cl -6.596 1.369 2.125
Nd -4.746 3.036 0.935
Cl -3.558 3.516 3.380
Cl -6.422 5.201 1.289
Cl -5.861 3.058 -1.590
Cs -5.997 8.013 3.442
Cl -3.487 0.640 0.393
Sn -7.629 5.295 -1.308

Record 6
10
Lattice="4.591 0.000 0.000 -2.295 9.398 0.000 0.000 0.000 9.053" Properties=species:S:1:pos:R:3 comment="PBE CsNdTeCl2, optimized geometry" formation_energy_uncorrected_mev_per_atom=-1874 total_magnetization_mub_per_cell=0.00 pbc="T T T"
Cl 2.295 6.674 4.492
Nd 0.000 0.000 0.000
Cl 0.000 2.724 9.018
Te 2.295 0.029 2.263
Cl 0.000 2.724 4.561
Te 0.000 9.369 6.789
Nd 0.000 0.000 4.526
Cs 2.295 4.043 6.789
Cs 0.000 5.355 2.263
Cl 2.295 6.674 0.035

Record 7
10
Lattice="8.048 0.000 0.000 4.024 6.970 0.000 4.024 2.323 6.985" Properties=species:S:1:pos:R:3 comment="PBE CsNdTl2Cl6, optimized geometry" dos_ef_per_ev_cell=0.0 formation_energy_uncorrected_mev_per_atom=-1743 total_magnetization_mub_per_cell=0.00 pbc="T T T"
Cs 12.072 6.970 4.007
Tl 4.024 2.323 6.673
Cl 9.225 2.877 5.415
Cl 11.062 4.454 1.640
Nd 4.024 2.323 0.230
Cl 6.707 7.353 1.640
Cl 6.374 2.132 1.640
Cl 8.991 6.550 5.415
Tl 8.048 4.646 2.958
Cl 5.927 4.512 5.415

Record 8
20
Lattice="8.029 0.000 -0.009 0.000 8.346 0.000 0.057 0.000 11.488" Properties=species:S:1:pos:R:3 comment="PBE Cs2NdTlCl6, optimized geometry" dos_ef_per_ev_cell=0.0 formation_energy_uncorrected_mev_per_atom=-1963 total_magnetization_mub_per_cell=0.00 pbc="T T T"
Cl 7.327 4.417 2.639
Cl 2.581 6.074 5.170
Tl 0.028 4.173 5.744
Nd 0.000 4.173 0.000
Nd 4.043 0.000 5.739
Cl 4.744 0.244 3.092
Tl 4.014 0.000 -0.005
Cl 6.624 6.445 10.910
Cl 3.342 8.102 8.387
Cl 1.461 1.901 0.569
Cl 0.758 3.929 8.840
Cs 3.892 3.685 2.863
Cs 7.935 0.488 8.602
Cl 5.504 2.272 6.309
Cl 2.223 5.723 0.490
Cl 1.820 1.550 5.249
Cl 6.266 6.795 6.229
Cs 4.194 4.661 8.616
Cl 5.862 2.623 10.989
Cs 0.151 7.858 2.877

Record 9
9
Lattice="-4.053 -3.969 -3.966 2.138 -6.293 -1.934 -3.215 -3.031 6.314" Properties=species:S:1:pos:R:3 comment="PBE CsNdZnCl6, optimized geometry" dos_ef_per_ev_cell=0.0 formation_energy_uncorrected_mev_per_atom=-1828 total_magnetization_mub_per_cell=0.00 pbc="T T T"
Cl -1.171 -6.199 -0.700
Cl -0.306 -3.338 1.114
Zn -2.246 -4.936 1.190
Cl -1.041 -6.028 3.104
Nd -2.884 -8.355 -0.775
Cl -3.907 -6.821 1.270
Cl -3.387 -3.503 -0.527
Cs -5.129 -13.292 0.415
Cl -3.662 -3.728 2.881

Record 10
8
Lattice="-2.623 -5.767 6.653 5.517 -6.487 -3.447 5.377 -4.402 4.648" Properties=species:S:1:pos:R:3 comment="PBE Cs2NiCl, optimized geometry" dos_ef_per_ev_cell=16.3 formation_energy_uncorrected_mev_per_atom=-296 total_magnetization_mub_per_cell=2.00 pbc="T T T"
Ni 2.100 -8.148 6.452
Ni 0.000 0.000 0.000
Cs 0.460 -5.371 4.723
Cl 1.447 -6.127 1.603
Cs 4.399 -6.019 0.005
Cs 5.256 -8.058 4.602
Cs 6.427 -13.861 6.377
Cl 6.170 -8.508 1.402

Record 11
5
Lattice="-1.649 3.012 1.168 -1.457 -1.863 2.750 6.832 2.846 7.940" Properties=species:S:1:pos:R:3 comment="PBE Cs2Ni2Cl, optimized geometry" dos_ef_per_ev_cell=6.5 formation_energy_uncorrected_mev_per_atom=-202 total_magnetization_mub_per_cell=1.26 pbc="T T T"
Ni 1.911 0.778 6.324
Ni 1.815 3.216 5.533
Cl 0.000 0.000 0.000
Cs 0.239 1.060 3.237
Cs 3.488 2.935 8.621

Record 12
5
Lattice="6.365 0.000 0.000 0.000 6.365 0.000 0.000 0.000 6.365" Properties=species:S:1:pos:R:3 comment="PBE Cs3NiCl, optimized geometry" dos_ef_per_ev_cell=0.0 formation_energy_uncorrected_mev_per_atom=-249 total_magnetization_mub_per_cell=0.00 pbc="T T T"
Cl 3.182 3.182 3.182
Cs 3.182 0.000 0.000
Cs 0.000 0.000 3.182
Ni 0.000 0.000 0.000
Cs 0.000 3.182 0.000

Record 13
6
Lattice="-5.434 -0.619 4.326 5.473 -4.312 -0.279 2.932 5.939 2.180" Properties=species:S:1:pos:R:3 comment="PBE CsNiCl4, optimized geometry" dos_ef_per_ev_cell=5.0 formation_energy_uncorrected_mev_per_atom=-947 total_magnetization_mub_per_cell=1.04 pbc="T T T"
Cl 1.042 4.124 4.983
Cl 1.937 2.242 2.745
Cl 1.929 -3.085 1.219
Ni 0.020 -2.466 2.024
Cl 1.034 -1.265 3.508
Cs -1.241 1.427 4.265

Record 14
13
Lattice="-1.740 -3.626 -4.207 5.111 2.993 -6.447 -0.054 -7.663 8.340" Properties=species:S:1:pos:R:3 comment="PBE Cs2Ni3Cl8, optimized geometry" dos_ef_per_ev_cell=0.4 formation_energy_uncorrected_mev_per_atom=-998 total_magnetization_mub_per_cell=5.90 pbc="T T T"
Ni 1.895 -8.976 -0.146
Cl -0.815 -4.191 -1.988
Cl 1.949 -3.160 -7.010
Cl 1.376 -1.532 -1.367
Cl 0.064 -1.747 -4.439
Ni -0.870 -1.813 -2.103
Cl 1.368 -5.137 4.697
Cl 4.132 -4.105 -0.326
Cl 1.941 -6.764 -0.947
Cl 3.253 -6.550 2.126
Cs 0.797 -4.112 1.232
Ni 1.423 0.679 -2.168
Cs 2.520 -4.184 -3.546

Record 15
8
Lattice="-2.158 -6.876 0.741 0.633 -4.626 -5.540 5.491 3.224 3.595" Properties=species:S:1:pos:R:3 comment="PBE CsNiCl6, optimized geometry" dos_ef_per_ev_cell=10.8 formation_energy_uncorrected_mev_per_atom=-674 total_magnetization_mub_per_cell=0.00 pbc="T T T"
Cl -0.290 -7.132 -0.499
Ni 0.000 0.000 0.000
Cl -0.621 -9.738 -3.765
Cl 1.175 -5.951 -3.795
Cl 4.256 -1.145 -0.704
Cl 2.791 -2.326 2.592
Cs 1.983 -4.138 -0.602
Cl 4.586 1.462 2.562

Record 16
22
Lattice="7.282 0.000 0.000 0.000 9.938 0.000 0.000 0.000 9.938" Properties=species:S:1:pos:R:3 comment="PBE Cs3NiCl7, optimized geometry" formation_energy_uncorrected_mev_per_atom=-1291 total_magnetization_mub_per_cell=0.36 pbc="T T T"
Cl 0.000 6.566 8.341
Cs 3.641 1.793 6.762
Cs 3.641 6.762 8.146
Cl 3.641 4.969 4.969
Cl 1.592 3.847 8.817
Cs 3.641 3.177 1.793
Cl 0.000 3.372 1.597
Cl 5.691 1.122 3.847
Cl 5.691 6.091 1.122
Cl 1.592 6.091 1.122
Ni 0.000 0.000 4.969
Cl 0.000 8.341 3.372
Cl 1.592 8.817 6.091
Cl 5.691 3.847 8.817
Cs 0.000 4.969 4.969
Cl 1.592 1.122 3.847
Ni 0.000 4.969 0.000
Cs 0.000 0.000 0.000
Cl 5.691 8.817 6.091
Cl 3.641 0.000 0.000
Cl 0.000 1.597 6.566
Cs 3.641 8.146 3.177

Record 17
23
Lattice="-0.234 -6.594 -0.411 10.515 -0.762 6.233 -10.683 0.007 5.990" Properties=species:S:1:pos:R:3 comment="PBE Cs6Ni3Cl14, optimized geometry" dos_ef_per_ev_cell=17.8 formation_energy_uncorrected_mev_per_atom=-1280 total_magnetization_mub_per_cell=5.54 pbc="T T T"
Cl -1.004 -6.734 9.826
Cs 7.294 -2.332 5.347
Cl 4.028 -2.453 4.221
Ni -3.693 -2.390 5.938
Cl -2.314 -3.042 4.321
Cl -3.058 -3.238 7.891
Cl -0.115 -3.226 -0.201
Cl 2.624 -5.257 7.661
Cs -0.621 -5.449 6.512
Ni -0.193 -5.427 -0.338
Cs -4.722 -5.062 2.632
Cl 1.488 -2.496 6.368
Cs -6.044 -5.357 8.127
Cl -5.781 -2.990 5.470
Cl 5.172 -5.215 5.529
Cl -3.849 -6.783 5.664
Cl -8.842 -6.222 6.078
Cs 2.031 -2.420 9.770
Cl -1.658 -6.171 1.165
Cl 2.054 -5.034 4.395
Cl 4.615 -2.677 7.487
Cs 0.838 -1.957 3.015
Ni 3.330 -3.853 5.944

Record 18
22
Lattice="9.299 0.000 0.000 0.000 9.299 0.000 0.000 0.000 9.813" Properties=species:S:1:pos:R:3 comment="PBE Cs4NiCl6, optimized geometry" formation_energy_uncorrected_mev_per_atom=-1555 total_magnetization_mub_per_cell=4.13 pbc="T T T"
Cl 4.649 4.649 7.394
Cl 7.065 5.422 0.000
Cl 2.234 3.877 0.000
Cl 8.526 6.884 4.907
Cl 3.877 7.065 0.000
Cl 0.000 0.000 2.487
Cs 1.593 6.242 2.453
Cs 7.706 3.057 2.453
Cl 0.772 2.415 4.907
Cs 1.593 6.242 7.360
Cs 6.242 7.706 7.360
Cl 2.415 8.526 4.907
Cs 3.057 1.593 7.360
Cl 6.884 0.772 4.907
Ni 0.000 0.000 4.907
Cs 3.057 1.593 2.453
Cl 4.649 4.649 2.420
Cl 0.000 0.000 7.326
Cs 7.706 3.057 7.360
Ni 4.649 4.649 0.000
Cs 6.242 7.706 2.453
Cl 5.422 2.234 0.000

Record 19
20
Lattice="7.266 0.000 0.000 0.000 9.126 0.762 0.000 -2.512 9.902" Properties=species:S:1:pos:R:3 comment="PBE CsNiCl3, optimized geometry" dos_ef_per_ev_cell=0.8 formation_energy_uncorrected_mev_per_atom=-1109 total_magnetization_mub_per_cell=0.42 pbc="T T T"
Cl 3.100 1.980 5.675
Ni 1.063 6.704 9.409
Ni 4.696 3.217 6.586
Cl 5.013 1.769 8.179
Cl 6.733 -1.185 9.559
Cl 2.253 4.845 2.484
Cs 2.240 8.053 4.108
Cs 5.026 -1.438 6.556
Cs 1.393 2.233 8.678
Ni 6.203 -0.090 1.254
Cl 2.682 5.450 8.729
Cl 1.380 -0.974 7.054
Cl 0.951 2.143 3.397
Cl 4.166 4.634 4.989
Cl 4.584 1.164 1.934
Cs 5.873 4.381 1.986
Cl 5.886 7.588 3.609
Ni 2.570 3.397 4.077
Cl 0.533 7.799 1.105
Cl 6.315 4.471 7.266

Record 20
10
Lattice="7.341 0.000 0.000 -3.671 6.358 0.000 0.000 0.000 5.971" Properties=species:S:1:pos:R:3 comment="PBE CsNiCl3, optimized geometry" formation_energy_uncorrected_mev_per_atom=-1190 total_magnetization_mub_per_cell=4.04 pbc="T T T"
Cl 1.645 0.950 4.478
Cl 3.671 4.459 4.478
Cl -2.026 5.408 1.493
Cl 5.697 0.950 4.478
Ni 0.000 0.000 2.985
Cs 0.000 4.239 4.478
Ni 0.000 0.000 0.000
Cl 2.026 5.408 1.493
Cs 3.671 2.119 1.493
Cl 0.000 1.899 1.493

no.,VASP energy (eV per atom)
1,-4.084
2,-4.298
3,-4.094
4,-4.354
5,-4.129
6,-4.366
7,-3.886
8,-3.955
9,-3.826
10,-2.630
11,-3.226
12,-2.287
13,-3.284
14,-3.600
15,-2.888
16,-3.225
17,-3.381
18,-3.398
19,-3.544
20,-3.625